[1]
First-principles (PBE) data for FeSnSbTe2 after structural relaxation, as listed in the Alexandria database.

It has space group P4/mmm (No. 123), with a = 5.268 Å, b = 5.268 Å, c = 4.772 Å, α = 90.00°, β = 90.00° and γ = 90.00°. Symmetry generates all atoms from Fe at (0.000, 0.000, 0.000), Sn at (0.500, 0.500, 0.500), Sb at (0.000, 0.000, 0.500) and Te at (0.000, 0.500, 0.000).

The magnetization is 2.07 μB per cell. As for the polymorph energy (0 for the lowest one): 0 meV per atom. The value obtained for the raw total energy is -21.24 eV per formula unit. The uncorrected formation energy is 0.33 eV per atom.


[2]
First-principles (PBE) data for PmSm2Ir9 after structural relaxation, as listed in the Alexandria database.

It has space group R-3m (No. 166, hexagonal axes), with a = 5.3580 Å, b = 5.3580 Å, c = 26.4754 Å, α = 90.00°, β = 90.00° and γ = 120.00°. Symmetry generates all atoms from Pm at (0.0000, 0.0000, 0.0000), Sm at (0.0000, 0.0000, 0.1395), Ir at (0.0000, 0.0000, 0.3324), Ir at (0.0000, 0.0000, 0.5000) and Ir at (0.0023, 0.5012, 0.0813).

The magnetization is 0.00 μB per cell. The value obtained for the raw total energy is -100.46 eV per formula unit. The calculated formation energy is -0.544 eV/atom.


[3]
First-principles (PBE) data for AcLaDyGa after structural relaxation, as listed in the Alexandria database.

It has space group F-43m (No. 216), with a = 7.901 Å, b = 7.901 Å, c = 7.901 Å, α = 90.00°, β = 90.00° and γ = 90.00°. Symmetry generates all atoms from Ac at (0.000, 0.000, 0.000), La at (0.250, 0.250, 0.750), Dy at (0.250, 0.250, 0.250) and Ga at (0.000, 0.000, 0.500).

The magnetization is 0.00 μB per cell. The value obtained for the raw total energy is -16.64 eV per formula unit. The calculated formation energy is 0.006 eV/atom.


[4]
First-principles (PBE) data for LiCdSBr after structural relaxation, as listed in the Alexandria database.

It has space group P3m1 (No. 156), with a = 4.2125 Å, b = 4.2125 Å, c = 6.8136 Å, α = 90.00°, β = 90.00° and γ = 120.00°. Symmetry generates all atoms from Li at (0.0000, 0.0000, 0.0000), Cd at (0.6667, 0.3333, 0.4560), S at (0.0000, 0.0000, 0.3568) and Br at (0.6667, 0.3333, 0.8722).

The magnetization is 0.00 μB per cell. The value obtained for the raw total energy is -12.84 eV per formula unit. The uncorrected formation energy is -1.05 eV per atom.


[5]
First-principles (PBE) data for K2Rh after structural relaxation, as listed in the Alexandria database.

It has space group Cmcm (No. 63), with a = 16.849 Å, b = 7.732 Å, c = 4.413 Å, α = 90.00°, β = 90.00° and γ = 90.00°. Symmetry generates all atoms from K at (0.126, 0.246, 0.250) and Rh at (0.000, 0.061, 0.750).

The magnetization is 0.00 μB per cell. As for the polymorph energy (0 for the lowest one): 0 meV per atom. The value obtained for the raw total energy is -8.49 eV per formula unit. The calculated formation energy is 0.354 eV/atom.


[6]
First-principles (PBE) data for NdY2Os after structural relaxation, as listed in the Alexandria database.

It has space group R-3m (No. 166, hexagonal axes), with a = 3.4886 Å, b = 3.4886 Å, c = 33.0246 Å, α = 90.00°, β = 90.00° and γ = 120.00°. Symmetry generates all atoms from Nd at (0.0000, 0.0000, 0.0000), Y at (0.0000, 0.0000, 0.1068) and Os at (0.0000, 0.0000, 0.5000).

The magnetization is 0.00 μB per cell. As for the polymorph energy (0 for the lowest one): 470 meV per atom. The value obtained for the raw total energy is -27.80 eV per formula unit. The calculated formation energy is 0.282 eV/atom.


[7]
First-principles (PBE) data for YSiRh after structural relaxation, as listed in the Alexandria database.

It has space group I4mm (No. 107), with a = 3.163 Å, b = 3.163 Å, c = 10.734 Å, α = 90.00°, β = 90.00° and γ = 90.00°. Symmetry generates all atoms from Y at (0.000, 0.000, 0.000), Si at (0.000, 0.000, 0.697) and Rh at (0.000, 0.000, 0.302).

The magnetization is 0.00 μB per cell. The value obtained for the raw total energy is -21.38 eV per formula unit. The uncorrected formation energy is -0.71 eV per atom.


[8]
First-principles (PBE) data for RbBi after structural relaxation, as listed in the Alexandria database.

It has space group Pmn2_1 (No. 31), with a = 12.574 Å, b = 6.492 Å, c = 6.938 Å, α = 90.00°, β = 90.00° and γ = 90.00°. Symmetry generates all atoms from Rb at (0.000, 0.186, 0.000), Rb at (0.164, 0.499, 0.463), Bi at (0.000, 0.984, 0.502) and Bi at (0.234, 0.003, 0.709).

The magnetization is 0.00 μB per cell. As for the polymorph energy (0 for the lowest one): 148 meV per atom. The value obtained for the raw total energy is -5.26 eV per formula unit. The calculated formation energy is -0.207 eV/atom.


Which of these has the highest magnetization? FeSnSbTe2